This record from the Alexandria database describes a geometry-optimized Sr2Zn3CuAu4 structure. The functional is PBE.

Calculated values
Formation energy from the elements   -0.463 eV per atom
Calculated density   9.30 Mg/m³
Total energy   -0.1066 hartree per atom
Spin magnetization   0.0 μB/f.u.

Lattice parameters (Å, degrees): 4.604 4.604 10.299 90.00 90.00 90.00
Space group P-4m2 (No. 115)
One atom of each set of equivalent atoms:
1 Sr 0.000 0.500 0.246 [2 per cell]
2 Zn 0.000 0.000 0.000 [1 per cell]
3 Zn 0.000 0.500 0.627 [2 per cell]
4 Cu 0.500 0.500 0.000 [1 per cell]
5 Au 0.000 0.000 0.500 [1 per cell]
6 Au 0.000 0.500 0.875 [2 per cell]
7 Au 0.500 0.500 0.500 [1 per cell]


This record from the Alexandria database describes a geometry-optimized Sr2ZrCuAu structure. The functional is PBE.

Calculated values
Formation energy from the elements   0.392 eV per atom
Calculated density   4.67 Mg/m³
Total energy   -0.1274 hartree per atom
Spin magnetization   1.1 μB/f.u.

Lattice parameters (Å, degrees): 5.986 5.986 5.231 90.00 90.00 90.00
Space group P4/mmm (No. 123)
One atom of each set of equivalent atoms:
1 Sr 0.000 0.500 0.000 [2 per cell]
2 Zr 0.000 0.000 0.500 [1 per cell]
3 Cu 0.500 0.500 0.500 [1 per cell]
4 Au 0.000 0.000 0.000 [1 per cell]


Q: What is the formula in the second record?
A: Sr2ZrCuAu


Please write out number 2 again, unchanged.
This record from the Alexandria database describes a geometry-optimized Sr2ZrCuAu structure. The functional is PBE.

Calculated values
Formation energy from the elements   0.392 eV per atom
Calculated density   4.67 Mg/m³
Total energy   -0.1274 hartree per atom
Spin magnetization   1.1 μB/f.u.

Lattice parameters (Å, degrees): 5.986 5.986 5.231 90.00 90.00 90.00
Space group P4/mmm (No. 123)
One atom of each set of equivalent atoms:
1 Sr 0.000 0.500 0.000 [2 per cell]
2 Zr 0.000 0.000 0.500 [1 per cell]
3 Cu 0.500 0.500 0.500 [1 per cell]
4 Au 0.000 0.000 0.000 [1 per cell]